No. 1
TcBi2O5 | PBE | optimized geometry

Computed properties:
**Energy above the most stable polymorph in this dataset**: 0 meV/atom
**Formation energy (no corrections)**: -1194 meV per atom

Lattice parameters (Å, degrees): 3.838 8.024 15.615 90.00 90.00 90.00
Positions (direct):
Tc 0.750 0.912 0.431
O 0.250 0.926 0.171
O 0.750 0.632 0.147
O 0.750 0.574 0.671
O 0.250 0.426 0.329
O 0.250 0.938 0.451
O 0.250 0.438 0.049
Tc 0.250 0.088 0.569
O 0.250 0.797 0.999
O 0.750 0.074 0.829
Bi 0.750 0.820 0.750
Bi 0.750 0.874 0.080
O 0.750 0.782 0.324
O 0.250 0.368 0.853
O 0.750 0.282 0.176
Tc 0.750 0.412 0.069
O 0.750 0.703 0.499
Bi 0.250 0.126 0.920
Bi 0.750 0.320 0.750
O 0.750 0.132 0.353
Bi 0.250 0.626 0.580
Bi 0.250 0.180 0.250
O 0.250 0.868 0.647
O 0.250 0.297 0.501
O 0.250 0.718 0.824
O 0.750 0.562 0.951
Bi 0.750 0.374 0.420
O 0.750 0.203 0.001
O 0.250 0.218 0.676
Bi 0.250 0.680 0.250
Tc 0.250 0.588 0.931
O 0.750 0.062 0.549

=====

No. 2
MgCdH8Rh2 | PBE | optimized geometry

Computed properties:
**Raw total energy**: -3.7019 eV per atom

Lattice parameters (Å, degrees): 5.122 5.122 5.661 63.10 63.10 60.00
Positions (direct):
Rh 0.314 0.314 0.058
H 0.926 0.567 0.172
Mg 0.000 0.000 0.000
H 0.198 0.198 0.405
H 0.665 0.074 0.828
H 0.567 0.335 0.172
Cd 0.500 0.500 0.500
H 0.802 0.802 0.595
H 0.074 0.433 0.828
H 0.433 0.665 0.828
Rh 0.686 0.686 0.942
H 0.335 0.926 0.172

=====

Record-wise volume values, in Å³ per cell: 481, 110
Record-wise total magnetic moment values, in μB/f.u.: 2.08, 0.00